Pm6SbTe3Se2: optimized geometry, PBE-GGA.

The structure in POSCAR format:
```
Pm6SbTe3Se2
1.0
-4.0400 -4.5690 -4.4318
7.0776 -1.8255 1.8475
-3.4614 -1.4016 6.7408
Pm Se Sb Te
6 2 1 3
direct
0.2723 0.2723 0.7778
0.9235 0.5791 0.7735
0.5791 0.9235 0.7735
0.4209 0.0765 0.2265
0.0765 0.4209 0.2265
0.7277 0.7277 0.2222
0.6680 0.3320 0.0000
0.3320 0.6680 0.0000
0.0000 0.0000 0.0000
0.8381 0.1619 0.5000
0.1619 0.8381 0.5000
0.5000 0.5000 0.5000
```

Values from the calculation:
Energy relative to the elements, uncorrected ... -1531 meV/atom
Total moment ... 0.0 μB/cell
Space-group type ... No. 12
Calculated total energy ... -0.4128 Ry per atom